1.
Below is an optimized crystal structure of Mg6Zn5Cu, with properties calculated at the PBE level.

## Properties
* energy of formation: -79 meV/atom
* electronic total energy: -1.749 eV per atom

Cell: 4.4685 7.0388 7.0393 Å, 90.00 107.68 90.00°
With the nearest neighbours (Å) after each atom.
Fractional coordinates of all 12 atoms:
Mg  0.0000  0.2434  0.0000  6 Zn 2.80-2.89, 2 Cu 2.82, 2 Mg 3.12
Mg  0.0000  0.7566  0.0000  6 Zn 2.80-2.89, 2 Cu 2.82, 2 Mg 3.12
Mg  0.3362  0.2444  0.6715  1 Cu 2.80, 7 Zn 2.82-2.88, 1 Mg 3.12
Mg  0.3362  0.7556  0.6715  1 Cu 2.80, 7 Zn 2.82-2.88, 1 Mg 3.12
Mg  0.6638  0.2444  0.3285  1 Cu 2.80, 7 Zn 2.82-2.88, 1 Mg 3.12
Mg  0.6638  0.7556  0.3285  1 Cu 2.80, 7 Zn 2.82-2.88, 1 Mg 3.12
Zn  0.1644  0.0000  0.3299  8 Mg 2.80-2.87, 1 Cu 3.12
Zn  0.1679  0.5000  0.3369  8 Mg 2.87-2.89, 4 Zn 3.10-3.20
Zn  0.5000  0.5000  0.0000  8 Mg 2.84-2.87, 2 Zn 3.16
Zn  0.8321  0.5000  0.6631  8 Mg 2.87-2.89, 4 Zn 3.10-3.20
Zn  0.8356  0.0000  0.6701  8 Mg 2.80-2.87, 1 Cu 3.12
Cu  0.5000  0.0000  0.0000  8 Mg 2.80-2.82, 2 Zn 3.12


2.
Below is an optimized crystal structure of Pr2AgN, with properties calculated at the PBE level.

## Properties
* ΔE_f (raw): -0.63 eV per atom
* electronic total energy: -5.814 eV per atom

Cell: 6.8472 6.8472 6.8472 Å, 135.55 82.84 114.25°
With the nearest neighbours (Å) after each atom.
Fractional coordinates of all 8 atoms:
Pr  0.1090  0.2500  0.3590  3 N 2.38-2.60
Pr  0.1653  0.5964  0.0688  2 N 2.42-2.45
Pr  0.5276  0.0964  0.9312  2 N 2.42-2.45
Pr  0.8910  0.7500  0.6410  3 N 2.38-2.60
Ag  0.4945  0.3230  0.6715  2 Ag 3.05, 5 Pr 3.15-3.26
Ag  0.6515  0.8230  0.3285  2 Ag 3.05, 5 Pr 3.15-3.26
N  0.1536  0.7821  0.8715  5 Pr 2.38-2.60
N  0.9107  0.2821  0.1285  5 Pr 2.38-2.60


3.
Below is an optimized crystal structure of Zr3ScPd, with properties calculated at the PBE level.

## Properties
* energy of formation: 369 meV/atom
* polymorph energy (0 for the lowest one): 0.000 eV per formula unit
* electronic total energy: -7.065 eV per atom

Cell: 5.0949 5.0949 5.0949 Å, 90.00 90.00 90.00°
With the nearest neighbours (Å) after each atom.
Fractional coordinates of all 5 atoms:
Zr  0.0000  0.0000  0.5000  2 Pd 2.55
Zr  0.0000  0.5000  0.0000  2 Pd 2.55
Zr  0.5000  0.0000  0.0000  2 Pd 2.55
Sc  0.5000  0.5000  0.5000  12 Zr 3.60
Pd  0.0000  0.0000  0.0000  6 Zr 2.55